Entry 1:
Computed, not measured: PrCuIr after structural relaxation at the PBE level of DFT.

Results
- E above lowest polymorph: 0 meV per atom
- D(E_F): 0.51 states/eV/atom
- ΔH_f (0 K): -0.426 eV per atom

Cell lengths 5.1412, 5.6273, 7.6775 Å; angles 90.00, 90.00, 90.00 degrees
Space group Imma (No. 74)
One atom of each set of equivalent atoms:
Pr (0.0000, 0.2500, 0.1267) x4
Cu (0.2500, 0.2500, 0.7500) x4
Ir (0.0000, 0.0000, 0.5000) x4

Entry 2:
Computed, not measured: BeBSb after structural relaxation at the PBE level of DFT.

Results
- E above lowest polymorph: 159 meV per atom
- D(E_F): 0.25 states/eV/atom

Cell lengths 5.4412, 3.1934, 10.5337 Å; angles 90.00, 98.56, 90.00 degrees
Space group Cm (No. 8)
One atom of each set of equivalent atoms:
Be (0.0000, 0.0000, 0.0000) x2
Be (0.1218, 0.5000, 0.8530) x2
B (0.1770, 0.5000, 0.0413) x2
B (0.3600, 0.0000, 0.0896) x2
Sb (0.4087, 0.5000, 0.6752) x2
Sb (0.4256, 0.0000, 0.3172) x2

Entry 3:
Computed, not measured: Zr2SbSe after structural relaxation at the PBE level of DFT.

Results
- E above lowest polymorph: 99 meV per atom
- D(E_F): 0.70 states/eV/atom

Cell lengths 4.0045, 4.0045, 19.7402 Å; angles 90.00, 90.00, 120.00 degrees
Space group R-3m (No. 166, hexagonal axes)
One atom of each set of equivalent atoms:
Zr (0.0000, 0.0000, 0.2357) x6
Sb (0.0000, 0.0000, 0.0000) x3
Se (0.0000, 0.0000, 0.5000) x3

Entry 4:
Computed, not measured: CrCdPt after structural relaxation at the PBE level of DFT.

Results
- E above lowest polymorph: 95 meV per atom
- D(E_F): 1.23 states/eV/atom
- ΔH_f (0 K): 0.114 eV per atom

Cell lengths 2.9149, 2.9534, 12.4593 Å; angles 90.00, 90.00, 90.00 degrees
Space group Amm2 (No. 38)
One atom of each set of equivalent atoms:
Cr (0.0000, 0.0000, 0.0000) x2
Cd (0.0000, 0.0000, 0.3016) x2
Pt (0.5000, 0.0000, 0.6334) x2

Entry 5:
Computed, not measured: Ba5AlHg4 after structural relaxation at the PBE level of DFT.

Results
- D(E_F): 0.59 states/eV/atom
- ΔH_f (0 K): -0.429 eV per atom

Cell lengths 4.1985, 4.1985, 20.9746 Å; angles 90.00, 90.00, 90.00 degrees
Space group P4/mmm (No. 123)
One atom of each set of equivalent atoms:
Ba (0.0000, 0.0000, 0.0000) x1
Ba (0.0000, 0.0000, 0.2013) x2
Ba (0.0000, 0.0000, 0.4029) x2
Al (0.5000, 0.5000, 0.5000) x1
Hg (0.5000, 0.5000, 0.0996) x2
Hg (0.5000, 0.5000, 0.3024) x2

Entry 6:
Computed, not measured: Ac5Y2 after structural relaxation at the PBE level of DFT.

Results
- D(E_F): 1.82 states/eV/atom
- ΔH_f (0 K): 0.135 eV per atom

Cell lengths 12.6600, 3.8053, 12.6046 Å; angles 90.00, 104.86, 90.00 degrees
Space group C2/m (No. 12)
One atom of each set of equivalent atoms:
Ac (0.0000, 0.0000, 0.0000) x2
Ac (0.0389, 0.5000, 0.2960) x4
Ac (0.2329, 0.0000, 0.8604) x4
Y (0.1489, 0.0000, 0.5555) x4

Entry 7:
Computed, not measured: SmHo2Er2 after structural relaxation at the PBE level of DFT.

Results
- E above lowest polymorph: 0 meV per atom
- D(E_F): 0.99 states/eV/atom
- ΔH_f (0 K): 0.086 eV per atom

Cell lengths 9.3028, 9.3028, 3.6894 Å; angles 90.00, 90.00, 90.00 degrees
Space group P4/mbm (No. 127)
One atom of each set of equivalent atoms:
Sm (0.0000, 0.0000, 0.0000) x2
Ho (0.1256, 0.3744, 0.0000) x4
Er (0.1715, 0.6715, 0.5000) x4

Entry 8:
Computed, not measured: MnV2Si after structural relaxation at the PBE level of DFT.

Results
- DFT total energy: -33.8 eV/cell
- D(E_F): 1.08 states/eV/atom

Cell lengths 3.0999, 3.0999, 5.2277 Å; angles 90.00, 90.00, 90.00 degrees
Space group P4/mmm (No. 123)
One atom of each set of equivalent atoms:
Mn (0.0000, 0.0000, 0.0000) x1
V (0.5000, 0.5000, 0.2525) x2
Si (0.0000, 0.0000, 0.5000) x1

Entry 9:
Computed, not measured: La7Nd16Y6 after structural relaxation at the PBE level of DFT.

Results
- D(E_F): 1.97 states/eV/atom
- ΔH_f (0 K): 0.233 eV per atom

Cell lengths 16.0164, 16.0164, 16.0164 Å; angles 90.00, 90.00, 90.00 degrees
Space group Fm-3m (No. 225)
One atom of each set of equivalent atoms:
La (0.0000, 0.0000, 0.0000) x4
La (0.0000, 0.2500, 0.2500) x24
Nd (0.1218, 0.1218, 0.1218) x32
Nd (0.1560, 0.1560, 0.3440) x32
Y (0.0000, 0.0000, 0.2973) x24

Entry 10:
Computed, not measured: Na8AsH2 after structural relaxation at the PBE level of DFT.

Results
- DFT total energy: -46.5 eV/cell
- D(E_F): 0.17 states/eV/atom

Cell lengths 18.7219, 5.1772, 6.1761 Å; angles 90.00, 95.38, 90.00 degrees
Space group C2/m (No. 12)
One atom of each set of equivalent atoms:
Na (0.0163, 0.0000, 0.2697) x4
Na (0.0811, 0.5000, 0.9415) x4
Na (0.1624, 0.5000, 0.4765) x4
Na (0.1952, 0.0000, 0.9663) x4
As (0.0000, 0.5000, 0.5000) x2
H (0.0816, 0.0000, 0.9908) x4

Entry 11:
Computed, not measured: LiTlF4 after structural relaxation at the PBE level of DFT.

Results
- E above lowest polymorph: 14 meV per atom
- D(E_F): 0.00 states/eV/atom

Cell lengths 5.3289, 5.3289, 5.1822 Å; angles 90.00, 90.00, 90.00 degrees
Space group P4/nbm (No. 125, origin choice 2)
One atom of each set of equivalent atoms:
Li (0.2500, 0.7500, 0.0000) x2
Tl (0.2500, 0.2500, 0.5000) x2
F (0.0602, 0.5602, 0.2583) x8

Entry 12:
Computed, not measured: CsPmHg2Se4 after structural relaxation at the PBE level of DFT.

Results
- DFT total energy: -54.4 eV/cell
- D(E_F): 0.00 states/eV/atom

Cell lengths 7.1593, 8.7661, 9.6071 Å; angles 90.00, 90.00, 90.00 degrees
Space group I222 (No. 23)
One atom of each set of equivalent atoms:
Cs (0.0000, 0.0000, 0.0000) x2
Pm (0.0000, 0.0000, 0.5000) x2
Hg (0.0000, 0.5000, 0.1734) x4
Se (0.2286, 0.1793, 0.3221) x8

Copy entry 2 word for word.
Computed, not measured: BeBSb after structural relaxation at the PBE level of DFT.

Results
- E above lowest polymorph: 159 meV per atom
- D(E_F): 0.25 states/eV/atom

Cell lengths 5.4412, 3.1934, 10.5337 Å; angles 90.00, 98.56, 90.00 degrees
Space group Cm (No. 8)
One atom of each set of equivalent atoms:
Be (0.0000, 0.0000, 0.0000) x2
Be (0.1218, 0.5000, 0.8530) x2
B (0.1770, 0.5000, 0.0413) x2
B (0.3600, 0.0000, 0.0896) x2
Sb (0.4087, 0.5000, 0.6752) x2
Sb (0.4256, 0.0000, 0.3172) x2

- Look up the D(E_F) of the twelfth one.
  0.00 states/eV/atom

- D(E_F) of number 5 (Ba5AlHg4)?
  0.59 states/eV/atom

- Which value of D(E_F) does entry 1 give?
  0.51 states/eV/atom